{"formula": "NaPmCdIr", "functional": "PBE", "state": "optimized geometry", "cell": [[4.952, 0.000, 0.000], [2.476, 4.289, 0.000], [2.476, 1.430, 4.043]], "species": ["Cd", "Ir", "Na", "Pm"], "frac_coords": [[0.000, 0.000, 0.000], [0.250, 0.250, 0.250], [0.750, 0.750, 0.750], [0.500, 0.500, 0.500]], "magmom_total_mub_per_fu": 0.00, "space_group": "F-43m", "formation_energy_ev_per_atom": -0.16}

***

{"formula": "Mg2Sc2Au3", "functional": "PBE", "state": "optimized geometry", "cell": [[4.472, 0.004, -1.253], [-2.406, 3.958, -0.003], [-0.101, -0.063, 8.299]], "species": ["Mg", "Mg", "Sc", "Sc", "Au", "Au", "Au"], "frac_coords": [[0.746, 0.373, 0.119], [0.254, 0.627, 0.881], [0.247, 0.124, 0.371], [0.753, 0.876, 0.629], [0.000, 0.000, 0.000], [0.486, 0.243, 0.730], [0.514, 0.757, 0.270]], "magmom_total_mub_per_fu": 0.00, "space_group": "C2/m", "formation_energy_ev_per_atom": -0.60}